First-principles (PBE) data for RbCr2I after structural relaxation, as listed in Alexandria.

a b c (Å): 4.718 4.718 4.718
angles (deg): 60.00 60.00 60.00
Sites, in units of the cell vectors:
Rb 0.000 0.000 0.000
Cr 0.250 0.250 0.250
Cr 0.750 0.750 0.750
I 0.500 0.500 0.500

Calculated values
E_tot = -3.3893 eV per atom
Total magnetic moment = 0.00 μB/cell
Distance to the lowest polymorph of the same formula = 1247 meV/atom
Symmetry = Fm-3m, No. 225